This record from Alexandria via LeMat-Bulk describes a relaxed ZnReSbI2 crystal. The functional is PBE-GGA.

Results
polymorph energy (0 for the lowest one) = 629.7 meV/atom
energy relative to the elements, uncorrected = 1.3764 eV/atom

abc: 5.437 5.437 5.505
angles: 90.00 90.00 90.00
Last column: magnetic moment on the atom in μB.
Fractional positions:
I 0.000 0.500 0.000  0.02
I 0.500 0.000 0.000  0.02
Re 0.500 0.500 0.500  4.01
Zn 0.000 0.000 0.000  0.01
Sb 0.000 0.000 0.500  -0.33